1.
Compound: Zr2AgMo
Source: the Alexandria database
Functional: PBE
Structure: optimized geometry Values from VASP.

Calculated values
The formation enthalpy at 0 K is 0.16 eV/atom. For the density of states at the Fermi level, the calculation gives 0.933 states/eV/atom. The energy above the most stable polymorph in this dataset is 260 meV per atom. The calculation puts the magnetization at 0.00 μB/atom. The electronic total energy is -30.1 eV per cell.

Geometry as Quantum ESPRESSO input:
```
&SYSTEM
  ibrav = 0, nat = 4, ntyp = 3
/
ATOMIC_SPECIES
Zr 91.22 Zr.upf
Mo 95.94 Mo.upf
Ag 107.87 Ag.upf
CELL_PARAMETERS angstrom
-2.669 3.280 3.319
-2.006 -2.480 4.327
4.830 0.143 -2.356
ATOMIC_POSITIONS crystal
Zr 0.000 0.000 0.000
Mo 0.750 0.250 0.500
Ag 0.500 0.500 0.000
Zr 0.250 0.750 0.500
```


2.
Compound: ZrAg2Mo
Source: the Alexandria database
Functional: PBE
Structure: optimized geometry Values from VASP.

Calculated values
The formation enthalpy at 0 K is 0.27 eV/atom. For the density of states at the Fermi level, the calculation gives 0.687 states/eV/atom. The energy above the most stable polymorph in this dataset is 95 meV per atom. The calculation puts the magnetization at 0.00 μB/atom. The electronic total energy is -24.0 eV per cell.

Geometry as Quantum ESPRESSO input:
```
&SYSTEM
  ibrav = 0, nat = 4, ntyp = 3
/
ATOMIC_SPECIES
Mo 95.94 Mo.upf
Ag 107.87 Ag.upf
Zr 91.22 Zr.upf
CELL_PARAMETERS angstrom
4.680 0.000 0.000
0.000 2.701 0.107
0.000 1.119 5.794
ATOMIC_POSITIONS crystal
Mo 0.000 0.448 0.481
Ag 0.500 0.062 0.257
Zr 0.500 0.807 0.758
Ag 0.000 0.184 0.004
```


3.
Compound: ZrAgMo2
Source: the Alexandria database
Functional: PBE
Structure: optimized geometry Values from VASP.

Calculated values
The formation enthalpy at 0 K is 0.27 eV/atom. For the density of states at the Fermi level, the calculation gives 1.003 states/eV/atom. The energy above the most stable polymorph in this dataset is 136 meV per atom. The calculation puts the magnetization at 0.00 μB/atom. The electronic total energy is -32.0 eV per cell.

Geometry as Quantum ESPRESSO input:
```
&SYSTEM
  ibrav = 0, nat = 4, ntyp = 3
/
ATOMIC_SPECIES
Ag 107.87 Ag.upf
Mo 95.94 Mo.upf
Zr 91.22 Zr.upf
CELL_PARAMETERS angstrom
4.646 0.000 0.000
2.323 4.023 0.000
2.323 1.341 3.793
ATOMIC_POSITIONS crystal
Ag 0.500 0.500 0.500
Mo 0.000 0.000 0.000
Mo 0.750 0.750 0.750
Zr 0.250 0.250 0.250
```


4.
Compound: Zr2AgMo
Source: the Alexandria database
Functional: PBE
Structure: optimized geometry Values from VASP.

Calculated values
The formation enthalpy at 0 K is -0.02 eV/atom. For the density of states at the Fermi level, the calculation gives 0.960 states/eV/atom. The energy above the most stable polymorph in this dataset is 80 meV per atom. The calculation puts the magnetization at 0.00 μB/atom. The electronic total energy is -30.8 eV per cell.

Geometry as Quantum ESPRESSO input:
```
&SYSTEM
  ibrav = 0, nat = 4, ntyp = 3
/
ATOMIC_SPECIES
Ag 107.87 Ag.upf
Zr 91.22 Zr.upf
Mo 95.94 Mo.upf
CELL_PARAMETERS angstrom
4.316 -1.710 -1.180
0.928 -4.677 0.454
0.509 -2.730 -3.903
ATOMIC_POSITIONS crystal
Ag 0.500 0.500 0.500
Zr 0.750 0.750 0.750
Zr 0.250 0.250 0.250
Mo 0.000 0.000 0.000
```


5.
Compound: ZrAgMo2
Source: the Alexandria database
Functional: PBE
Structure: optimized geometry Values from VASP.

Calculated values
The formation enthalpy at 0 K is 0.33 eV/atom. For the density of states at the Fermi level, the calculation gives 1.104 states/eV/atom. The energy above the most stable polymorph in this dataset is 200 meV per atom. The calculation puts the magnetization at 0.00 μB/atom. The electronic total energy is -31.7 eV per cell.

Geometry as Quantum ESPRESSO input:
```
&SYSTEM
  ibrav = 0, nat = 4, ntyp = 3
/
ATOMIC_SPECIES
Zr 91.22 Zr.upf
Mo 95.94 Mo.upf
Ag 107.87 Ag.upf
CELL_PARAMETERS angstrom
-0.172 -2.233 1.614
1.695 1.689 1.375
-7.467 3.829 4.501
ATOMIC_POSITIONS crystal
Zr 0.500 0.500 0.250
Mo 0.000 0.000 0.505
Ag 0.500 0.500 0.750
Mo 0.000 0.000 0.995
```


6.
Compound: ZrAgMo2
Source: the Alexandria database
Functional: PBE
Structure: optimized geometry Values from VASP.

Calculated values
The formation enthalpy at 0 K is 0.36 eV/atom. For the density of states at the Fermi level, the calculation gives 0.832 states/eV/atom. The energy above the most stable polymorph in this dataset is 229 meV per atom. The calculation puts the magnetization at 0.00 μB/atom. The electronic total energy is -31.6 eV per cell.

Geometry as Quantum ESPRESSO input:
```
&SYSTEM
  ibrav = 0, nat = 4, ntyp = 3
/
ATOMIC_SPECIES
Zr 91.22 Zr.upf
Mo 95.94 Mo.upf
Ag 107.87 Ag.upf
CELL_PARAMETERS angstrom
-0.373 2.687 -0.504
-1.250 -0.620 -2.380
-8.193 -0.317 4.384
ATOMIC_POSITIONS crystal
Zr 0.500 0.500 0.250
Mo 0.000 0.000 0.990
Ag 0.500 0.500 0.750
Mo 0.000 0.000 0.510
```


7.
Compound: ZrAgMo2
Source: the Alexandria database
Functional: PBE
Structure: optimized geometry Values from VASP.

Calculated values
The formation enthalpy at 0 K is 0.34 eV/atom. For the density of states at the Fermi level, the calculation gives 0.866 states/eV/atom. The energy above the most stable polymorph in this dataset is 206 meV per atom. The calculation puts the magnetization at 0.00 μB/atom. The electronic total energy is -31.7 eV per cell.

Geometry as Quantum ESPRESSO input:
```
&SYSTEM
  ibrav = 0, nat = 4, ntyp = 3
/
ATOMIC_SPECIES
Mo 95.94 Mo.upf
Ag 107.87 Ag.upf
Zr 91.22 Zr.upf
CELL_PARAMETERS angstrom
-0.742 5.357 -0.271
-5.085 1.773 -0.564
3.177 -3.027 3.172
ATOMIC_POSITIONS crystal
Mo 0.506 0.506 0.000
Ag 0.250 0.750 0.500
Mo 0.994 0.994 0.000
Zr 0.750 0.250 0.500
```


8.
Compound: ZrAg2Mo
Source: the Alexandria database
Functional: PBE
Structure: optimized geometry Values from VASP.

Calculated values
The formation enthalpy at 0 K is 0.25 eV/atom. For the density of states at the Fermi level, the calculation gives 0.986 states/eV/atom. The energy above the most stable polymorph in this dataset is 71 meV per atom. The calculation puts the magnetization at 0.00 μB/atom. The electronic total energy is -24.1 eV per cell.

Geometry as Quantum ESPRESSO input:
```
&SYSTEM
  ibrav = 0, nat = 4, ntyp = 3
/
ATOMIC_SPECIES
Ag 107.87 Ag.upf
Mo 95.94 Mo.upf
Zr 91.22 Zr.upf
CELL_PARAMETERS angstrom
-3.351 0.277 4.626
-0.326 -0.275 5.703
0.045 4.035 1.945
ATOMIC_POSITIONS crystal
Ag 0.991 0.991 0.009
Mo 0.250 0.250 0.250
Zr 0.750 0.750 0.750
Ag 0.509 0.509 0.491
```


9.
Compound: ZrAg2Mo
Source: the Alexandria database
Functional: PBE
Structure: optimized geometry Values from VASP.

Calculated values
The formation enthalpy at 0 K is 0.30 eV/atom. For the density of states at the Fermi level, the calculation gives 1.076 states/eV/atom. The energy above the most stable polymorph in this dataset is 126 meV per atom. The calculation puts the magnetization at 0.09 μB/atom. The electronic total energy is -23.9 eV per cell.

Geometry as Quantum ESPRESSO input:
```
&SYSTEM
  ibrav = 0, nat = 4, ntyp = 3
/
ATOMIC_SPECIES
Zr 91.22 Zr.upf
Ag 107.87 Ag.upf
Mo 95.94 Mo.upf
CELL_PARAMETERS angstrom
2.829 0.000 0.000
0.000 4.488 0.000
0.000 0.000 5.682
ATOMIC_POSITIONS crystal
Zr 0.500 0.500 0.750
Ag 0.000 0.000 0.491
Ag 0.000 0.000 0.009
Mo 0.500 0.500 0.250
```


10.
Compound: ZrAgMo2
Source: the Alexandria database
Functional: PBE
Structure: optimized geometry Values from VASP.

Calculated values
The formation enthalpy at 0 K is 0.57 eV/atom. For the density of states at the Fermi level, the calculation gives 2.283 states/eV/atom. The energy above the most stable polymorph in this dataset is 442 meV per atom. The calculation puts the magnetization at 0.00 μB/atom. The electronic total energy is -30.8 eV per cell.

Geometry as Quantum ESPRESSO input:
```
&SYSTEM
  ibrav = 0, nat = 4, ntyp = 3
/
ATOMIC_SPECIES
Zr 91.22 Zr.upf
Mo 95.94 Mo.upf
Ag 107.87 Ag.upf
CELL_PARAMETERS angstrom
0.000 3.282 3.282
3.282 0.000 3.282
3.282 3.282 0.000
ATOMIC_POSITIONS crystal
Zr 0.000 0.000 0.000
Mo 0.750 0.750 0.750
Mo 0.250 0.250 0.250
Ag 0.500 0.500 0.500
```


11.
Compound: Zr2AgMo
Source: the Alexandria database
Functional: PBE
Structure: optimized geometry Values from VASP.

Calculated values
The formation enthalpy at 0 K is 0.25 eV/atom. For the density of states at the Fermi level, the calculation gives 1.479 states/eV/atom. The energy above the most stable polymorph in this dataset is 350 meV per atom. The calculation puts the magnetization at 0.00 μB/atom. The electronic total energy is -29.8 eV per cell.

Geometry as Quantum ESPRESSO input:
```
&SYSTEM
  ibrav = 0, nat = 4, ntyp = 3
/
ATOMIC_SPECIES
Zr 91.22 Zr.upf
Mo 95.94 Mo.upf
Ag 107.87 Ag.upf
CELL_PARAMETERS angstrom
-2.743 0.712 -0.426
-0.139 -1.846 -2.187
-2.700 -6.843 5.946
ATOMIC_POSITIONS crystal
Zr 0.000 0.000 0.987
Mo 0.500 0.500 0.738
Zr 0.500 0.500 0.263
Ag 0.000 0.000 0.512
```


12.
Compound: Zr2AgMo
Source: the Alexandria database
Functional: PBE
Structure: optimized geometry Values from VASP.

Calculated values
The formation enthalpy at 0 K is -0.10 eV/atom. For the density of states at the Fermi level, the calculation gives 0.773 states/eV/atom. The energy above the most stable polymorph in this dataset is 0 meV per atom. The calculation puts the magnetization at 0.00 μB/atom. The electronic total energy is -31.2 eV per cell.

Geometry as Quantum ESPRESSO input:
```
&SYSTEM
  ibrav = 0, nat = 4, ntyp = 3
/
ATOMIC_SPECIES
Ag 107.87 Ag.upf
Zr 91.22 Zr.upf
Mo 95.94 Mo.upf
CELL_PARAMETERS angstrom
3.409 0.000 0.000
0.000 3.409 0.000
0.000 0.000 6.776
ATOMIC_POSITIONS crystal
Ag 0.500 0.500 0.250
Zr 0.000 0.000 0.520
Zr 0.000 0.000 0.980
Mo 0.500 0.500 0.750
```